# 1
A plane-wave DFT calculation with GGA-PBE was carried out for a relaxed structure of HgPCl2.

Geometry as extended XYZ:
```
4
Lattice="-1.970 -3.700 5.036 2.041 -6.223 0.199 1.314 6.417 0.125" Properties=species:S:1:pos:R:3 pbc="T T T"
Hg -0.310 -1.122 3.889
P 1.695 -2.383 1.471
Cl 0.007 -0.939 0.495
Cl 0.029 -4.022 2.122
```

Results
Spin magnetization, μB/cell: 0.00
Raw total energy, eV/cell: -9.431

# 2
A plane-wave DFT calculation with GGA-PBE was carried out for a relaxed structure of Hg3PCl.

Geometry as extended XYZ:
```
30
Lattice="10.067 0.231 -3.405 -4.810 8.847 -3.405 0.134 0.231 10.627" Properties=species:S:1:pos:R:3 pbc="T T T"
Cl -3.735 8.699 4.058
Cl 6.258 6.573 -4.871
Cl 6.953 1.089 7.521
Cl -1.561 8.219 -3.704
Cl 9.126 0.610 -0.242
Cl -0.867 2.736 8.688
P 1.910 8.080 0.018
P 3.481 1.229 3.799
P 6.684 4.586 1.796
P -1.293 4.723 2.021
P 2.030 5.678 5.708
P 3.361 3.631 -1.891
Hg 5.938 0.828 1.629
Hg -0.366 5.388 -0.224
Hg -0.546 8.481 2.188
Hg 4.839 2.392 -0.271
Hg 3.163 7.437 -4.410
Hg 0.552 6.916 4.088
Hg 3.989 6.945 -0.838
Hg 6.420 5.853 -1.242
Hg -1.028 3.456 5.059
Hg -2.607 8.304 -0.632
Hg -2.539 6.444 6.065
Hg 4.598 3.746 6.468
Hg 1.402 2.364 4.654
Hg 5.757 3.921 4.041
Hg 0.793 5.562 -2.651
Hg 7.998 1.005 4.448
Hg 2.229 1.872 8.227
Hg 7.930 2.864 -2.249
```

Results
Spin magnetization, μB/cell: 0.00
Raw total energy, eV/cell: -52.059

# 3
A plane-wave DFT calculation with GGA-PBE was carried out for a relaxed structure of Hg3PCl.

Geometry as extended XYZ:
```
5
Lattice="5.192 0.000 0.000 0.000 5.192 0.000 0.000 0.000 5.192" Properties=species:S:1:pos:R:3 pbc="T T T"
Hg 0.000 2.596 0.000
Hg 0.000 0.000 2.596
Hg 2.596 0.000 0.000
Cl 2.596 2.596 2.596
P 0.000 0.000 0.000
```

Results
Spin magnetization, μB/cell: 0.00
Raw total energy, eV/cell: -8.511

# 4
A plane-wave DFT calculation with GGA-PBE was carried out for a relaxed structure of HgP2Cl.

Geometry as extended XYZ:
```
4
Lattice="2.638 0.000 0.000 0.000 6.834 0.000 0.000 0.000 6.224" Properties=species:S:1:pos:R:3 pbc="T T T"
Hg 1.319 3.417 4.668
P 0.000 0.000 5.694
P 0.000 0.000 3.643
Cl 1.319 3.417 1.556
```

Results
Spin magnetization, μB/cell: 0.00
Raw total energy, eV/cell: -11.609

# 5
A plane-wave DFT calculation with GGA-PBE was carried out for a relaxed structure of HgPCl2.

Geometry as extended XYZ:
```
4
Lattice="-1.364 -2.335 -1.569 2.387 -0.038 -2.019 4.692 -6.550 5.670" Properties=species:S:1:pos:R:3 pbc="T T T"
Cl 2.741 -3.826 3.313
Cl 4.297 -5.998 5.193
Hg 1.685 -2.824 -0.376
P 4.030 -6.099 2.459
```

Results
Spin magnetization, μB/cell: 0.00
Raw total energy, eV/cell: -8.072

# 6
A plane-wave DFT calculation with GGA-PBE was carried out for a relaxed structure of HgPCl2.

Geometry as extended XYZ:
```
4
Lattice="-3.694 -3.288 -0.417 3.962 -2.650 -1.385 0.679 -4.027 2.716" Properties=species:S:1:pos:R:3 pbc="T T T"
Cl 0.000 0.000 0.000
Cl 0.134 -2.969 -0.901
Hg -1.507 -3.658 1.149
P 2.321 -3.338 0.665
```

Results
Spin magnetization, μB/cell: 0.00
Raw total energy, eV/cell: -8.413

- Look up the raw total energy of the second one.
  -52.059 eV/cell

Copy entry 1 word for word.
A plane-wave DFT calculation with GGA-PBE was carried out for a relaxed structure of HgPCl2.

Geometry as extended XYZ:
```
4
Lattice="-1.970 -3.700 5.036 2.041 -6.223 0.199 1.314 6.417 0.125" Properties=species:S:1:pos:R:3 pbc="T T T"
Hg -0.310 -1.122 3.889
P 1.695 -2.383 1.471
Cl 0.007 -0.939 0.495
Cl 0.029 -4.022 2.122
```

Results
Spin magnetization, μB/cell: 0.00
Raw total energy, eV/cell: -9.431

- What is the spin magnetization in the third record?
  0.00 μB/cell